[1]
DFT (GGA-PBE) results for a relaxed structure of HfZn2.

a b c (Å): 6.007 6.007 6.007
angles (deg): 151.03 151.03 41.43
Element x y z (fractional)
Hf1 0.000 0.000 0.000
Zn1 0.323 0.323 0.000
Zn2 0.677 0.677 0.000

total magnetic moment	0.00	μB per formula unit
Fermi-level density of states	2.0	states/eV per cell
electronic total energy	-13.0	eV/cell

***

[2]
DFT (GGA-PBE) results for a relaxed structure of HfZn5.

a b c (Å): 5.143 5.143 4.143
angles (deg): 90.00 90.00 120.00
Element x y z (fractional)
Hf1 0.000 0.000 0.000
Zn1 0.000 0.431 0.500
Zn2 0.333 0.667 0.000
Zn3 0.431 0.000 0.500
Zn4 0.569 0.569 0.500
Zn5 0.667 0.333 0.000

total magnetic moment	0.00	μB per formula unit
Fermi-level density of states	2.4	states/eV per cell
electronic total energy	-16.6	eV/cell

***

[3]
DFT (GGA-PBE) results for a relaxed structure of Hf6Zn5.

a b c (Å): 4.588 6.648 7.231
angles (deg): 90.00 108.36 90.00
Element x y z (fractional)
Hf1 0.000 0.240 0.000
Hf2 0.000 0.760 0.000
Hf3 0.339 0.244 0.678
Hf4 0.339 0.756 0.678
Hf5 0.661 0.244 0.322
Hf6 0.661 0.756 0.322
Zn1 0.169 0.000 0.339
Zn2 0.169 0.500 0.339
Zn3 0.500 0.500 0.000
Zn4 0.831 0.000 0.661
Zn5 0.831 0.500 0.661

total magnetic moment	0.00	μB per formula unit
Fermi-level density of states	10.3	states/eV per cell
electronic total energy	-66.7	eV/cell

***

[4]
DFT (GGA-PBE) results for a relaxed structure of HfZn4.

a b c (Å): 7.488 7.488 7.488
angles (deg): 147.10 134.53 57.25
Element x y z (fractional)
Hf1 0.357 0.107 0.250
Hf2 0.643 0.893 0.750
Zn1 0.000 0.500 0.500
Zn2 0.139 0.889 0.250
Zn3 0.198 0.699 0.499
Zn4 0.300 0.301 0.999
Zn5 0.500 0.500 0.000
Zn6 0.700 0.699 0.001
Zn7 0.802 0.301 0.501
Zn8 0.861 0.111 0.750

total magnetic moment	0.00	μB per formula unit
energy above the most stable polymorph in this dataset	0	meV per atom
Fermi-level density of states	5.2	states/eV per cell
electronic total energy	-31.6	eV/cell

***

> What is the electronic total energy in the third record?

-66.7 eV/cell